VASP calculation (GGA-PBE) on a relaxed BaAlCd crystal.

**E_tot**: -2.144 eV/atom
**DOS(E_F)**: 1.788 states/eV per atom
**Density**: 4385 kg/m3
**Energy relative to the elements**: 4.73 kJ per mole of atoms

Lattice parameters (Å, degrees): 5.292 5.292 5.292 60.00 60.00 60.00
Atoms (fractional coordinates):
Cd 0.750 0.750 0.750
Al 0.000 0.000 0.000
Ba 0.500 0.500 0.500